A plane-wave DFT calculation with PBE was carried out for a relaxed Nd2Cd3Sn2 crystal.

## Properties
Total moment: 0.00 μB per formula unit
Energy of formation from the pure elements: -0.33 eV/atom
Density of states at the Fermi level: 0.688 states/eV/atom

Unit cell a=4.3592 b=4.2878 c=10.9433 alpha=101.30 beta=90.00 gamma=90.00
Last column: nearest neighbours and their distance in Å.
Fractional coordinates of all 7 atoms:
Nd1 0.0000 0.8364 0.6729  4 Sn 3.18, 1 Cd 3.51
Nd2 0.0000 0.1636 0.3271  4 Sn 3.18, 1 Cd 3.51
Cd1 0.5000 0.5659 0.1319  1 Cd 2.83, 1 Sn 2.97
Cd2 0.5000 0.4341 0.8681  1 Cd 2.83, 1 Sn 2.97
Cd3 0.0000 0.0000 0.0000  8 Cd 3.37, 2 Nd 3.51
Sn1 0.5000 0.7042 0.4084  2 Sn 2.91, 1 Cd 2.97, 4 Nd 3.18
Sn2 0.5000 0.2958 0.5916  2 Sn 2.91, 1 Cd 2.97, 4 Nd 3.18

=====

A plane-wave DFT calculation with PBE was carried out for a relaxed LiRuCl4 crystal.

## Properties
Total moment: 5.07 μB per formula unit
Excess energy over the best structure of this formula in the dataset: 1637 meV/atom
Density of states at the Fermi level: 1.696 states/eV/atom

Unit cell a=5.9202 b=5.9202 c=5.9202 alpha=60.00 beta=60.00 gamma=60.00
Last column: nearest neighbours and their distance in Å.
Fractional coordinates of all 6 atoms:
Li1 0.7500 0.7500 0.7500  12 Cl 3.47, 4 Ru 3.63
Ru1 0.0000 0.0000 0.0000  12 Cl 3.47, 4 Li 3.63
Cl1 0.8761 0.3746 0.3746  6 Cl 2.95-2.97
Cl2 0.3746 0.3746 0.8761  6 Cl 2.95-2.97
Cl3 0.3746 0.8761 0.3746  6 Cl 2.95-2.97
Cl4 0.3746 0.3746 0.3746  6 Cl 2.95-2.97

=====

A plane-wave DFT calculation with PBE was carried out for a relaxed SrTi2Co2 crystal.

## Properties
Total moment: 0.00 μB per formula unit
Excess energy over the best structure of this formula in the dataset: 165 meV/atom
Energy of formation from the pure elements: 0.13 eV/atom
Density of states at the Fermi level: 0.755 states/eV/atom

Unit cell a=7.6825 b=7.6825 c=2.8601 alpha=90.00 beta=90.00 gamma=90.00
Last column: nearest neighbours and their distance in Å.
Fractional coordinates of all 10 atoms:
Sr1 0.0000 0.0000 0.0000  2 Sr 2.86, 4 Ti 2.99
Sr2 0.5000 0.5000 0.0000  2 Sr 2.86, 4 Ti 2.99
Co1 0.1348 0.6348 0.5000  4 Ti 2.52
Co2 0.6348 0.8652 0.5000  4 Ti 2.52
Co3 0.8652 0.3652 0.5000  4 Ti 2.52
Co4 0.3652 0.1348 0.5000  4 Ti 2.52
Ti1 0.3650 0.8650 0.0000  4 Co 2.52
Ti2 0.8650 0.6350 0.0000  4 Co 2.52
Ti3 0.6350 0.1350 0.0000  4 Co 2.52
Ti4 0.1350 0.3650 0.0000  4 Co 2.52

=====

A plane-wave DFT calculation with PBE was carried out for a relaxed CaY2UP4 crystal.

## Properties
Total moment: 1.81 μB per formula unit
Energy of formation from the pure elements: -1.33 eV/atom
Density of states at the Fermi level: 0.819 states/eV/atom

Unit cell a=4.0072 b=6.9484 c=6.9427 alpha=109.00 beta=90.00 gamma=90.00
Last column: nearest neighbours and their distance in Å.
Fractional coordinates of all 8 atoms:
Ca1 0.5000 0.5000 0.0000  6 P 2.86-2.88
Y1 0.5000 0.0000 0.5000  6 P 2.80-2.81
Y2 0.0000 0.5000 0.5000  6 P 2.88-2.92
U1 0.0000 0.0000 0.0000  6 P 2.74-2.81
P1 0.5000 0.2409 0.2459  3 Y 2.80-2.88, 2 U 2.81, 1 Ca 2.86
P2 0.5000 0.7591 0.7541  3 Y 2.80-2.88, 2 U 2.81, 1 Ca 2.86
P3 0.0000 0.2367 0.7522  1 U 2.74, 3 Y 2.81-2.92, 2 Ca 2.88
P4 0.0000 0.7633 0.2478  1 U 2.74, 3 Y 2.81-2.92, 2 Ca 2.88

=====

A plane-wave DFT calculation with PBE was carried out for a relaxed KPN crystal.

## Properties
E_tot: -5.134 eV/atom
Total moment: 0.20 μB per formula unit
Density of states at the Fermi level: 0.342 states/eV/atom

Unit cell a=3.9898 b=5.3497 c=9.6342 alpha=93.24 beta=90.00 gamma=111.88
Last column: nearest neighbours and their distance in Å.
Fractional coordinates of all 6 atoms:
K1 0.3273 0.4534 0.3422  2 N 3.13, 3 P 3.25-3.28
K2 0.3537 0.5060 0.7250  2 N 3.13, 3 P 3.25-3.28
P1 0.6293 0.0573 0.5017  2 P 2.24
P2 0.0516 0.9020 0.5656  2 P 2.24
N1 0.8437 0.4863 0.0929  1 N 1.14
N2 0.8375 0.4737 0.9742  1 N 1.14

=====

A plane-wave DFT calculation with PBE was carried out for a relaxed UTc2RuC crystal.

## Properties
Total moment: 0.28 μB per formula unit
Energy of formation from the pure elements: -0.17 eV/atom
Density of states at the Fermi level: 0.746 states/eV/atom

Unit cell a=4.1176 b=4.1924 c=4.1924 alpha=90.00 beta=90.00 gamma=90.00
Last column: nearest neighbours and their distance in Å.
Fractional coordinates of all 5 atoms:
U1 0.5000 0.5000 0.5000  8 Tc 2.94, 4 Ru 2.96
Tc1 0.0000 0.0000 0.5000  2 C 2.10
Tc2 0.0000 0.5000 0.0000  2 C 2.10
Ru1 0.5000 0.0000 0.0000  2 C 2.06
C1 0.0000 0.0000 0.0000  2 Ru 2.06, 4 Tc 2.10

=====

A plane-wave DFT calculation with PBE was carried out for a relaxed GeBi2H crystal.

## Properties
Total moment: 0.00 μB per formula unit
Excess energy over the best structure of this formula in the dataset: 0 meV/atom
Density of states at the Fermi level: 0.291 states/eV/atom

Unit cell a=6.0957 b=6.0957 c=7.0412 alpha=64.35 beta=64.35 gamma=90.00
Last column: nearest neighbours and their distance in Å.
Fractional coordinates of all 8 atoms:
H1 0.5000 0.5000 0.0000  4 Bi 2.34
H2 0.2500 0.7500 0.5000  4 Bi 2.34
Ge1 0.0000 0.0000 0.0000  4 Bi 2.83
Ge2 0.7500 0.2500 0.5000  4 Bi 2.83
Bi1 0.5574 0.1250 0.2500  2 H 2.34
Bi2 0.1926 0.6250 0.2500  2 H 2.34
Bi3 0.3750 0.4426 0.7500  2 H 2.34
Bi4 0.8750 0.8074 0.7500  2 H 2.34

=====

A plane-wave DFT calculation with PBE was carried out for a relaxed ZnCdFe2 crystal.

## Properties
Total moment: 0.37 μB per formula unit
Energy of formation from the pure elements: 0.21 eV/atom
Density of states at the Fermi level: 0.702 states/eV/atom

Unit cell a=2.7147 b=2.7147 c=7.7246 alpha=90.00 beta=90.00 gamma=90.00
Last column: nearest neighbours and their distance in Å.
Fractional coordinates of all 4 atoms:
Cd1 0.5000 0.5000 0.7670  4 Cd 2.71, 4 Fe 2.85
Fe1 0.0000 0.0000 0.0401  8 Fe 2.43-2.71
Fe2 0.5000 0.5000 0.2333  8 Fe 2.43-2.71, 4 Zn 2.60
Zn1 0.0000 0.0000 0.4596  4 Fe 2.60, 4 Zn 2.71

=====

A plane-wave DFT calculation with PBE was carried out for a relaxed MgV2Ga2 crystal.

## Properties
Total moment: 0.00 μB per formula unit
Energy of formation from the pure elements: 0.26 eV/atom
Density of states at the Fermi level: 0.696 states/eV/atom

Unit cell a=3.8700 b=3.8700 c=6.2809 alpha=72.06 beta=72.06 gamma=90.00
Last column: nearest neighbours and their distance in Å.
Fractional coordinates of all 5 atoms:
Mg1 0.0000 0.0000 0.0000  8 V 2.91
Ga1 0.7500 0.2500 0.5000  4 V 2.67, 4 Ga 2.74
Ga2 0.2500 0.7500 0.5000  4 V 2.67, 4 Ga 2.74
V1 0.4125 0.4125 0.1750  1 V 1.98
V2 0.5875 0.5875 0.8250  1 V 1.98

=====

A plane-wave DFT calculation with PBE was carried out for a relaxed CoIr2Rh crystal.

## Properties
Total moment: 1.83 μB per formula unit
Excess energy over the best structure of this formula in the dataset: 0 meV/atom
Energy of formation from the pure elements: 0.01 eV/atom
Density of states at the Fermi level: 1.407 states/eV/atom

Unit cell a=4.6446 b=4.6446 c=4.6446 alpha=131.88 beta=131.88 gamma=70.41
Last column: nearest neighbours and their distance in Å.
Fractional coordinates of all 4 atoms:
Co1 0.7500 0.2500 0.5000  8 Ir 2.68, 4 Rh 2.68
Ir1 0.0000 0.0000 0.0000  4 Rh 2.68, 4 Co 2.68, 4 Ir 2.68
Ir2 0.2500 0.7500 0.5000  4 Co 2.68, 4 Rh 2.68, 4 Ir 2.68
Rh1 0.5000 0.5000 0.0000  8 Ir 2.68, 4 Co 2.68

=====

A plane-wave DFT calculation with PBE was carried out for a relaxed Sr3Sm4S8 crystal.

## Properties
E_tot: -5.848 eV/atom
Total moment: 0.00 μB per formula unit
Density of states at the Fermi level: 0.273 states/eV/atom

Unit cell a=8.1760 b=8.2264 c=8.2264 alpha=90.15 beta=119.61 gamma=119.61
Last column: nearest neighbours and their distance in Å.
Fractional coordinates of all 15 atoms:
Sr1 0.5000 0.5000 0.0000  6 S 2.91-2.92
Sr2 0.5000 0.0000 0.5000  6 S 2.91-2.92
Sr3 0.5000 0.5000 0.5000  6 S 2.97-3.00
Sm1 0.5000 0.0000 0.0000  6 S 2.81-2.86
Sm2 0.0000 0.5000 0.0000  6 S 2.91-2.92
Sm3 0.0000 0.0000 0.0000  6 S 2.80-2.84
Sm4 0.0000 0.0000 0.5000  6 S 2.91-2.92
S1 0.4785 0.2314 0.2314  2 Sm 2.80-2.81, 3 Sr 2.92-3.00
S2 0.0000 0.7573 0.2427  3 Sm 2.83-2.91, 2 Sr 2.92
S3 0.9894 0.2395 0.2395  4 Sm 2.84-2.91, 1 Sr 2.99
S4 0.5000 0.7549 0.2451  3 Sm 2.86-2.92, 3 Sr 2.91-2.97
S5 0.5000 0.2451 0.7549  3 Sm 2.86-2.92, 3 Sr 2.91-2.97
S6 0.0106 0.7605 0.7605  4 Sm 2.84-2.91, 1 Sr 2.99
S7 0.0000 0.2427 0.7573  3 Sm 2.83-2.91, 2 Sr 2.92
S8 0.5215 0.7686 0.7686  2 Sm 2.80-2.81, 3 Sr 2.92-3.00

=====

A plane-wave DFT calculation with PBE was carried out for a relaxed MgInW2 crystal.

## Properties
Total moment: 0.00 μB per formula unit
Excess energy over the best structure of this formula in the dataset: 209 meV/atom
Energy of formation from the pure elements: 0.51 eV/atom
Density of states at the Fermi level: 0.556 states/eV/atom

Unit cell a=2.7982 b=2.7982 c=9.3626 alpha=90.00 beta=90.00 gamma=90.00
Last column: nearest neighbours and their distance in Å.
Fractional coordinates of all 4 atoms:
In1 0.0000 0.0000 0.4884  4 In 2.80, 4 W 3.04
Mg1 0.5000 0.5000 0.7675  4 Mg 2.80, 4 W 2.96
W1 0.0000 0.0000 0.0025  8 W 2.80-2.99, 4 Mg 2.96
W2 0.5000 0.5000 0.2417  8 W 2.80-2.99, 4 In 3.04

=====

A plane-wave DFT calculation with PBE was carried out for a relaxed BaU2AgS7 crystal.

## Properties
E_tot: -6.257 eV/atom
Total moment: 1.08 μB per formula unit
Density of states at the Fermi level: 0.777 states/eV/atom

Unit cell a=5.2178 b=5.2178 c=11.1528 alpha=103.53 beta=103.53 gamma=90.00
Last column: nearest neighbours and their distance in Å.
Fractional coordinates of all 11 atoms:
Ba1 0.5000 0.5000 0.0000  12 S 3.48-3.69
U1 0.8760 0.8760 0.7519  6 S 2.42-2.63
U2 0.1240 0.1240 0.2481  6 S 2.42-2.63
Ag1 0.2500 0.7500 0.5000  4 S 2.62
S1 0.1091 0.6091 0.2182  2 U 2.63
S2 0.0000 0.0000 0.0000  2 U 2.61
S3 0.3909 0.8909 0.7818  2 U 2.63
S4 0.7608 0.7608 0.5216  1 U 2.42, 2 Ag 2.62
S5 0.6095 0.1095 0.2189  2 U 2.63
S6 0.2392 0.2392 0.4784  1 U 2.42, 2 Ag 2.62
S7 0.8905 0.3905 0.7811  2 U 2.63

=====

A plane-wave DFT calculation with PBE was carried out for a relaxed K2BeCu crystal.

## Properties
Total moment: 0.23 μB per formula unit
Energy of formation from the pure elements: 0.95 eV/atom
Density of states at the Fermi level: 0.670 states/eV/atom

Unit cell a=9.3195 b=9.3195 c=9.3195 alpha=27.49 beta=27.49 gamma=27.49
Last column: nearest neighbours and their distance in Å.
Fractional coordinates of all 4 atoms:
Be1 0.2500 0.2500 0.2500  6 K 3.48
K1 0.0046 0.0046 0.0046  3 Cu 3.32, 3 Be 3.48
K2 0.4954 0.4954 0.4954  3 Cu 3.32, 3 Be 3.48
Cu1 0.7500 0.7500 0.7500  6 K 3.32

=====

A plane-wave DFT calculation with PBE was carried out for a relaxed AcCuRh2 crystal.

## Properties
Total moment: 0.00 μB per formula unit
Energy of formation from the pure elements: -0.34 eV/atom
Density of states at the Fermi level: 0.586 states/eV/atom

Unit cell a=4.4804 b=4.4804 c=5.6269 alpha=66.54 beta=66.54 gamma=60.00
Last column: nearest neighbours and their distance in Å.
Fractional coordinates of all 4 atoms:
Ac1 0.0000 0.0000 0.0000  2 Rh 2.80
Rh1 0.8135 0.8135 0.5596  3 Cu 2.60, 3 Rh 2.65, 1 Ac 2.80
Rh2 0.1865 0.1865 0.4404  3 Cu 2.60, 3 Rh 2.65, 1 Ac 2.80
Cu1 0.5000 0.5000 0.5000  6 Rh 2.60